1.
Computed, not measured: a geometry-optimized PmHo2Er6 structure at the PBE level of DFT.

Cell lengths 11.5945, 3.4895, 14.3936 Å; angles 90.00, 103.19, 90.00 degrees
With the nearest neighbours (Å) after each atom.
Space group C2/m (No. 12)
Inequivalent atoms, fractional coordinates:
Pm (0.0000, 0.0000, 0.0000) [2 per cell]  6 Er 3.47-3.50, 2 Pm 3.49, 4 Ho 3.62
Ho (0.1070, 0.5000, 0.2236) [4 per cell]  2 Ho 3.49, 8 Er 3.54-3.66, 2 Pm 3.62
Er (0.1222, 0.0000, 0.4446) [4 per cell]  10 Er 3.41-3.55, 2 Ho 3.60
Er (0.1378, 0.5000, 0.6549) [4 per cell]  8 Er 3.36-3.49, 3 Ho 3.54-3.66
Er (0.1990, 0.5000, 0.8947) [4 per cell]  5 Er 3.36-3.49, 3 Pm 3.47-3.50, 3 Ho 3.57

Computed properties:
- DFT total energy: -4.494 eV per atom
- Excess energy over the best structure of this formula in the dataset: 0.637 eV/f.u.
- Size of the total moment: 0.0 μB per formula unit
- Density of states at the Fermi level: 14.34 states/eV/f.u.
- Formation enthalpy at 0 K: 0.09 eV/atom



2.
Computed, not measured: a geometry-optimized Pm6Ho12Er structure at the PBE level of DFT.

Cell lengths 13.1992, 13.1992, 12.5975 Å; angles 90.00, 90.00, 120.00 degrees
With the nearest neighbours (Å) after each atom.
Space group R-3m (No. 166, hexagonal axes)
Inequivalent atoms, fractional coordinates:
Pm (0.0401, 0.5201, 0.1168) [18 per cell]  1 Pm 3.08, 1 Er 3.41
Ho (0.0000, 0.2573, 0.0000) [18 per cell]  6 Ho 3.34-3.53, 4 Pm 3.48-3.56
Ho (0.0910, 0.1819, 0.7642) [18 per cell]  6 Ho 3.34-3.60, 2 Pm 3.71
Er (0.0000, 0.0000, 0.5000) [3 per cell]  6 Pm 3.41

Computed properties:
- DFT total energy: -4.416 eV per atom
- Excess energy over the best structure of this formula in the dataset: 1.730 eV/f.u.
- Size of the total moment: 0.0 μB per formula unit
- Density of states at the Fermi level: 30.71 states/eV/f.u.
- Formation enthalpy at 0 K: 0.22 eV/atom



3.
Computed, not measured: a geometry-optimized Pm2Ho3Er3 structure at the PBE level of DFT.

Cell lengths 5.0250, 5.0255, 20.0203 Å; angles 90.00, 90.00, 90.00 degrees
With the nearest neighbours (Å) after each atom.
Space group Immm (No. 71)
Inequivalent atoms, fractional coordinates:
Pm (0.0000, 0.0000, 0.2500) [4 per cell]  4 Pm 3.55, 4 Ho 3.57, 4 Er 3.57
Ho (0.0000, 0.0000, 0.0000) [2 per cell]  4 Ho 3.52, 8 Er 3.52-3.55
Ho (0.0000, 0.5000, 0.3769) [4 per cell]  2 Ho 3.52, 6 Er 3.52-3.55, 4 Pm 3.57
Er (0.0000, 0.0000, 0.5000) [2 per cell]  4 Er 3.52, 8 Ho 3.52-3.55
Er (0.0000, 0.5000, 0.1231) [4 per cell]  2 Er 3.52, 6 Ho 3.52-3.55, 4 Pm 3.57

Computed properties:
- DFT total energy: -4.592 eV per atom
- Size of the total moment: 0.0 μB per formula unit
- Density of states at the Fermi level: 11.46 states/eV/f.u.
- Formation enthalpy at 0 K: 0.02 eV/atom



4.
Computed, not measured: a geometry-optimized Pm2Ho2Er15 structure at the PBE level of DFT.

Cell lengths 11.0966, 11.0966, 17.4546 Å; angles 90.00, 90.00, 120.00 degrees
With the nearest neighbours (Å) after each atom.
Space group R-3m (No. 166, hexagonal axes)
Inequivalent atoms, fractional coordinates:
Pm (0.0000, 0.0000, 0.1148) [6 per cell]  6 Er 3.33-3.62, 1 Ho 3.71
Ho (0.0000, 0.0000, 0.3271) [6 per cell]  1 Pm 3.71, 12 Er 3.88-4.05
Er (0.0000, 0.3033, 0.0000) [18 per cell]  6 Er 3.25-3.37
Er (0.0000, 0.5000, 0.5000) [9 per cell]  8 Er 3.31-3.37, 2 Pm 3.33
Er (0.0137, 0.5069, 0.1381) [18 per cell]  6 Er 3.23-3.31

Computed properties:
- DFT total energy: -4.287 eV per atom
- Size of the total moment: 0.0 μB per formula unit
- Density of states at the Fermi level: 31.93 states/eV/f.u.
- Formation enthalpy at 0 K: 0.30 eV/atom



5.
Computed, not measured: a geometry-optimized Pm2HoEr7 structure at the PBE level of DFT.

Cell lengths 6.4354, 28.6182, 3.4979 Å; angles 90.00, 90.00, 90.00 degrees
With the nearest neighbours (Å) after each atom.
Space group Cmmm (No. 65)
Inequivalent atoms, fractional coordinates:
Pm (0.0000, 0.2084, 0.0000) [4 per cell]  2 Pm 3.50, 8 Er 3.54-3.73
Ho (0.0000, 0.5000, 0.5000) [2 per cell]  2 Ho 3.50, 12 Er 3.66
Er (0.0000, 0.0000, 0.0000) [2 per cell]  6 Er 3.24-3.50
Er (0.0000, 0.3157, 0.5000) [4 per cell]  6 Er 3.42-3.50, 6 Pm 3.54-3.73
Er (0.2461, 0.4022, 0.0000) [8 per cell]  7 Er 3.17-3.50

Computed properties:
- DFT total energy: -4.443 eV per atom
- Excess energy over the best structure of this formula in the dataset: 1.372 eV/f.u.
- Size of the total moment: 0.0 μB per formula unit
- Density of states at the Fermi level: 14.64 states/eV/f.u.
- Formation enthalpy at 0 K: 0.16 eV/atom



6.
Computed, not measured: a geometry-optimized Pm8Ho2Er structure at the PBE level of DFT.

Cell lengths 14.2513, 6.7656, 8.5805 Å; angles 90.00, 114.30, 90.00 degrees
With the nearest neighbours (Å) after each atom.
Space group C2/m (No. 12)
Inequivalent atoms, fractional coordinates:
Pm (0.0926, 0.2410, 0.3821) [8 per cell]  4 Pm 3.26-3.62, 1 Er 3.46, 2 Ho 3.47-3.56
Pm (0.1081, 0.0000, 0.9923) [4 per cell]  2 Pm 3.14-3.16, 1 Ho 3.28
Pm (0.2416, 0.0000, 0.7756) [4 per cell]  1 Pm 3.16, 1 Er 3.38
Ho (0.1451, 0.5000, 0.7573) [4 per cell]  8 Pm 3.28-3.65, 1 Er 3.49
Er (0.0000, 0.5000, 0.0000) [2 per cell]  10 Pm 3.38-3.73, 2 Ho 3.49

Computed properties:
- DFT total energy: -4.495 eV per atom
- Excess energy over the best structure of this formula in the dataset: 0.404 eV/f.u.
- Size of the total moment: 0.0 μB per formula unit
- Density of states at the Fermi level: 15.76 states/eV/f.u.
- Formation enthalpy at 0 K: 0.21 eV/atom



7.
Computed, not measured: a geometry-optimized PmHo6Er5 structure at the PBE level of DFT.

Cell lengths 6.1068, 10.5659, 11.6876 Å; angles 90.00, 99.99, 90.00 degrees
With the nearest neighbours (Å) after each atom.
Space group C2/m (No. 12)
Inequivalent atoms, fractional coordinates:
Pm (0.0000, 0.0000, 0.0000) [2 per cell]  6 Er 3.52-3.53, 6 Ho 3.54
Ho (0.2494, 0.5000, 0.2513) [4 per cell]  5 Er 3.51-3.54, 6 Ho 3.52-3.53, 1 Pm 3.54
Ho (0.2504, 0.1669, 0.2515) [8 per cell]  5 Er 3.51-3.54, 6 Ho 3.52-3.53, 1 Pm 3.54
Er (0.0000, 0.1669, 0.5000) [4 per cell]  6 Ho 3.51-3.52, 6 Er 3.52-3.53
Er (0.0000, 0.3333, 0.0000) [4 per cell]  3 Pm 3.52-3.53, 3 Er 3.52, 6 Ho 3.54
Er (0.0000, 0.5000, 0.5000) [2 per cell]  6 Ho 3.51, 6 Er 3.52-3.53

Computed properties:
- DFT total energy: -4.566 eV per atom
- Size of the total moment: 0.0 μB per formula unit
- Density of states at the Fermi level: 15.92 states/eV/f.u.
- Formation enthalpy at 0 K: 0.02 eV/atom



8.
Computed, not measured: a geometry-optimized Pm2Ho3Er structure at the PBE level of DFT.

Cell lengths 23.4032, 3.5581, 9.6764 Å; angles 90.00, 104.86, 90.00 degrees
With the nearest neighbours (Å) after each atom.
Space group C2/m (No. 12)
Inequivalent atoms, fractional coordinates:
Pm (0.0661, 0.0000, 0.1193) [4 per cell]  3 Pm 3.35-3.56, 5 Ho 3.38-3.58, 2 Er 3.44-3.54
Pm (0.1865, 0.5000, 0.7158) [4 per cell]  7 Ho 3.39-3.57, 2 Er 3.48, 2 Pm 3.56
Ho (0.0618, 0.5000, 0.4372) [4 per cell]  5 Ho 3.41-3.56, 3 Pm 3.43-3.58, 4 Er 3.58-3.61
Ho (0.1871, 0.0000, 0.3994) [4 per cell]  4 Pm 3.38-3.54, 8 Ho 3.53-3.68
Ho (0.1904, 0.5000, 0.0681) [4 per cell]  5 Pm 3.39-3.57, 4 Ho 3.56-3.68
Er (0.0654, 0.0000, 0.7636) [4 per cell]  4 Pm 3.44-3.54, 2 Er 3.56, 4 Ho 3.58-3.61

Computed properties:
- DFT total energy: -4.563 eV per atom
- Excess energy over the best structure of this formula in the dataset: 0.000 eV/f.u.
- Size of the total moment: 0.0 μB per formula unit
- Density of states at the Fermi level: 10.70 states/eV/f.u.
- Formation enthalpy at 0 K: 0.07 eV/atom



9.
Computed, not measured: a geometry-optimized Pm5Ho2Er4 structure at the PBE level of DFT.

Cell lengths 11.8411, 7.0150, 8.9951 Å; angles 90.00, 103.14, 90.00 degrees
With the nearest neighbours (Å) after each atom.
Space group C2/m (No. 12)
Inequivalent atoms, fractional coordinates:
Pm (0.0000, 0.0000, 0.0000) [2 per cell]  4 Pm 3.43
Pm (0.0535, 0.2777, 0.3228) [8 per cell]  2 Pm 3.12-3.43, 1 Ho 3.33, 2 Er 3.39-3.49
Ho (0.1704, 0.0000, 0.6554) [4 per cell]  6 Pm 3.33-3.59, 4 Er 3.34-3.54
Er (0.1520, 0.5000, 0.9982) [4 per cell]  2 Er 3.32-3.61, 1 Ho 3.34, 2 Pm 3.67
Er (0.2092, 0.5000, 0.6533) [4 per cell]  1 Er 3.32, 6 Pm 3.39-3.53, 3 Ho 3.40-3.54

Computed properties:
- DFT total energy: -4.485 eV per atom
- Excess energy over the best structure of this formula in the dataset: 0.000 eV/f.u.
- Size of the total moment: 0.0 μB per formula unit
- Density of states at the Fermi level: 14.56 states/eV/f.u.
- Formation enthalpy at 0 K: 0.17 eV/atom